(1)
Pm2ErBi: optimized geometry, PBE-GGA.

CIF file:
```
data_Pm2ErBi
_symmetry_space_group_name_H-M 'P 4/m m m'
_symmetry_Int_Tables_number 123
_symmetry_space_group_name_Hall '-P 4 2'
_cell_length_a 4.912
_cell_length_b 4.912
_cell_length_c 4.954
_cell_angle_alpha 90.00
_cell_angle_beta 90.00
_cell_angle_gamma 90.00
loop_
_atom_site_label
_atom_site_fract_x
_atom_site_fract_y
_atom_site_fract_z
_atom_site_occupancy
Pm1 0.000 0.500 0.000 1
Er1 0.000 0.000 0.500 1
Bi1 0.500 0.500 0.500 1
```

Computed properties:
As for the formation energy from the elements: -382 meV per atom. The total moment is 0.0 μB per cell. The crystal system is tetragonal. As for the relative energy among the computed polymorphs: 8 meV/atom.

(2)
TaSn2F2: optimized geometry, PBE-GGA.

CIF file:
```
data_TaSn2F2
_symmetry_space_group_name_H-M 'I 4/m m m'
_symmetry_Int_Tables_number 139
_symmetry_space_group_name_Hall '-I 4 2'
_cell_length_a 3.419
_cell_length_b 3.419
_cell_length_c 14.027
_cell_angle_alpha 90.00
_cell_angle_beta 90.00
_cell_angle_gamma 90.00
loop_
_atom_site_label
_atom_site_fract_x
_atom_site_fract_y
_atom_site_fract_z
_atom_site_occupancy
Ta1 0.000 0.000 0.000 1
Sn1 0.000 0.000 0.374 1
F1 0.000 0.500 0.250 1
```

Computed properties:
The total moment is 1.2 μB per cell. The crystal system is tetragonal. As for the relative energy among the computed polymorphs: 0 meV/atom. The formation energy (no corrections) is -0.796 eV per atom.

(3)
La6Ho8In: optimized geometry, PBE-GGA.

CIF file:
```
data_La6Ho8In
_symmetry_space_group_name_H-M 'P -3'
_symmetry_Int_Tables_number 147
_cell_length_a 9.5394
_cell_length_b 9.5394
_cell_length_c 6.4494
_cell_angle_alpha 90.00
_cell_angle_beta 90.00
_cell_angle_gamma 120.00
loop_
_symmetry_equiv_pos_as_xyz
'x,y,z'
'-x,-y,-z'
'-y,x-y,z'
'y,-x+y,-z'
'-x+y,-x,z'
'x-y,x,-z'
loop_
_atom_site_label
_atom_site_fract_x
_atom_site_fract_y
_atom_site_fract_z
_atom_site_occupancy
La1 0.0874 0.6394 0.3138 1
Ho1 0.0412 0.7810 0.8118 1
Ho2 0.3333 0.6667 0.8273 1
In1 0.0000 0.0000 0.5000 1
```

Computed properties:
As for the formation energy from the elements: 61 meV per atom. The total moment is 0.0 μB per cell. The crystal system is trigonal.

(4)
CaZnTc3: optimized geometry, PBE-GGA.

CIF file:
```
data_CaZnTc3
_symmetry_space_group_name_H-M 'P m -3 m'
_symmetry_Int_Tables_number 221
_symmetry_space_group_name_Hall '-P 4 2 3'
_cell_length_a 4.623
_cell_length_b 4.623
_cell_length_c 4.623
_cell_angle_alpha 90.00
_cell_angle_beta 90.00
_cell_angle_gamma 90.00
loop_
_atom_site_label
_atom_site_fract_x
_atom_site_fract_y
_atom_site_fract_z
_atom_site_occupancy
Ca1 0.000 0.000 0.000 1
Zn1 0.500 0.500 0.500 1
Tc1 0.000 0.000 0.500 1
```

Computed properties:
As for the formation energy from the elements: 2508 meV per atom. The total moment is 3.0 μB per cell. The crystal system is cubic. As for the relative energy among the computed polymorphs: 1115 meV/atom.

(5)
Pm5Pr5Th2: optimized geometry, PBE-GGA.

CIF file:
```
data_Pm5Pr5Th2
_symmetry_space_group_name_H-M 'P -1'
_symmetry_Int_Tables_number 2
_cell_length_a 6.346
_cell_length_b 8.194
_cell_length_c 8.980
_cell_angle_alpha 111.24
_cell_angle_beta 90.25
_cell_angle_gamma 104.90
loop_
_symmetry_equiv_pos_as_xyz
'x,y,z'
'-x,-y,-z'
loop_
_atom_site_label
_atom_site_fract_x
_atom_site_fract_y
_atom_site_fract_z
_atom_site_occupancy
Pm1 0.000 0.000 0.000 1
Pm2 0.088 0.757 0.582 1
Pm3 0.169 0.506 0.169 1
Pr1 0.248 0.241 0.744 1
Pr2 0.418 0.757 0.919 1
Pr3 0.500 0.500 0.500 1
Th1 0.339 0.999 0.337 1
```

Computed properties:
As for the formation energy from the elements: 42 meV per atom. The total moment is 0.0 μB per cell. The crystal system is triclinic.

(6)
Cr2IrRh: optimized geometry, PBE-GGA.

CIF file:
```
data_Cr2IrRh
_symmetry_space_group_name_H-M 'I -4 2 d'
_symmetry_Int_Tables_number 122
_symmetry_space_group_name_Hall 'I -4 2bw'
_cell_length_a 5.626
_cell_length_b 5.626
_cell_length_c 9.577
_cell_angle_alpha 90.00
_cell_angle_beta 90.00
_cell_angle_gamma 90.00
loop_
_atom_site_label
_atom_site_fract_x
_atom_site_fract_y
_atom_site_fract_z
_atom_site_occupancy
Cr1 0.250 0.250 0.125 1
Ir1 0.000 0.000 0.000 1
Rh1 0.000 0.000 0.500 1
```

Computed properties:
As for the formation energy from the elements: 967 meV per atom. The total moment is 8.2 μB per cell. The crystal system is tetragonal.

(7)
RbTaSe2Br: optimized geometry, PBE-GGA.

CIF file:
```
data_RbTaSe2Br
_symmetry_space_group_name_H-M 'P 4/m m m'
_symmetry_Int_Tables_number 123
_symmetry_space_group_name_Hall '-P 4 2'
_cell_length_a 5.614
_cell_length_b 5.614
_cell_length_c 5.682
_cell_angle_alpha 90.00
_cell_angle_beta 90.00
_cell_angle_gamma 90.00
loop_
_atom_site_label
_atom_site_fract_x
_atom_site_fract_y
_atom_site_fract_z
_atom_site_occupancy
Rb1 0.000 0.000 0.000 1
Ta1 0.500 0.500 0.500 1
Se1 0.000 0.500 0.000 1
Br1 0.000 0.000 0.500 1
```

Computed properties:
The total moment is 0.8 μB per cell. The crystal system is tetragonal. As for the relative energy among the computed polymorphs: 2528 meV/atom. The formation energy (no corrections) is 1.730 eV per atom.

(8)
TcB4W5: optimized geometry, PBE-GGA.

CIF file:
```
data_TcB4W5
_symmetry_space_group_name_H-M 'C 1 2/m 1'
_symmetry_Int_Tables_number 12
_cell_length_a 14.589
_cell_length_b 2.979
_cell_length_c 5.928
_cell_angle_alpha 90.00
_cell_angle_beta 108.99
_cell_angle_gamma 90.00
loop_
_symmetry_equiv_pos_as_xyz
'x,y,z'
'-x,-y,-z'
'-x,y,-z'
'x,-y,z'
'x+1/2,y+1/2,z'
'-x+1/2,-y+1/2,-z'
'-x+1/2,y+1/2,-z'
'x+1/2,-y+1/2,z'
loop_
_atom_site_label
_atom_site_fract_x
_atom_site_fract_y
_atom_site_fract_z
_atom_site_occupancy
Tc1 0.000 0.000 0.000 1
B1 0.060 0.500 0.289 1
B2 0.133 0.000 0.317 1
W1 0.000 0.000 0.500 1
W2 0.163 0.500 0.032 1
W3 0.197 0.500 0.621 1
```

Computed properties:
As for the formation energy from the elements: -42 meV per atom. The total moment is 0.0 μB per cell. The crystal system is monoclinic.